! PBE-GGA TmZnAg2, optimized geometry; values from VASP
! DFT total energy = -12.109 eV/cell
! E_form = -165.2 meV/atom
! Calculated density = 9.5 g/cm3
&SYSTEM
  ibrav = 0, nat = 4, ntyp = 3
/
ATOMIC_SPECIES
Zn 65.41 Zn.upf
Tm 168.93 Tm.upf
Ag 107.87 Ag.upf
CELL_PARAMETERS angstrom
-2.687 -2.041 0.501
1.956 -2.726 -0.617
1.525 -0.393 6.573
ATOMIC_POSITIONS angstrom
Zn -0.365 -2.384 -0.058
Tm 0.397 -2.580 3.229
Ag 1.190 -0.306 5.131
Ag 0.335 -0.086 1.443